CoPdSO: relaxed, GGA+U.

Cell: 3.5106 3.5106 10.6750 Å, 90.00 90.00 120.00°
Space group P6_3mc (No. 186)
One atom of each set of equivalent atoms:
Co  0.0000  0.0000  0.0000 [2 per cell]
Pd  0.3333  0.6667  0.2327 [2 per cell]
S  0.3333  0.6667  0.5999 [2 per cell]
O  0.0000  0.0000  0.3300 [2 per cell]

Calculated values
energy above the most stable polymorph in this dataset	228.8	meV/atom
energy	-5.0307	eV per atom